A relaxed Ac3Pd4Pb2 crystal. Source: the Alexandria database, functional PBE.

a b c (Å): 5.9082 5.9082 9.4917
angles (deg): 94.34 94.34 46.89
Last column: nearest neighbours and their distance in Å.
Positions (direct):
Ac 0.0000 0.0000 0.0000  6 Pd 3.19-3.40
Ac 0.3724 0.3724 0.6214  6 Pd 3.06-3.36
Ac 0.6276 0.6276 0.3786  6 Pd 3.06-3.36
Pd 0.0798 0.0798 0.6218  1 Pd 2.77, 2 Pb 2.93
Pd 0.2793 0.2793 0.9170  3 Pb 2.86-2.88, 2 Pd 2.93, 2 Ac 3.06-3.19
Pd 0.7207 0.7207 0.0830  3 Pb 2.86-2.88, 2 Pd 2.93, 2 Ac 3.06-3.19
Pd 0.9202 0.9202 0.3782  1 Pd 2.77, 2 Pb 2.93
Pb 0.3288 0.3288 0.2176  5 Pd 2.86-2.93
Pb 0.6712 0.6712 0.7824  5 Pd 2.86-2.93

Summary:
ΔH_f (0 K), eV per atom: -0.68
Space group: C2/m (12)
Fermi-level density of states, states/eV/f.u.: 5.8
V, Å³ per atom: 26.8